VASP calculation (PBE-GGA) on crystalline CoBi at its relaxed geometry.

Results
Fermi-level density of states: 1.29 states/eV/atom
formation enthalpy at 0 K: 0.293 eV/atom

Cell: 9.867 9.867 3.669 Å, 90.00 90.00 90.00°
Space group I4/m (No. 87)
Unique sites:
Co 0.082 0.413 0.000
Bi 0.109 0.216 0.500